1.
An optimized crystal structure of HoErSeO2. Source: the Alexandria database, functional PBE.

Lattice parameters (Å, degrees): 3.9843 6.4225 7.5295 106.92 90.00 90.00
Closest atoms and distances in Å follow each position.
Fractional coordinates of all 10 atoms:
1 O 0.7500 0.5114 0.3806  3 Er 2.21-2.24, 1 Ho 2.26
2 Ho 0.7500 0.3200 0.0762  4 O 2.22-2.26
3 O 0.2500 0.4791 0.1229  1 Er 2.20, 3 Ho 2.22-2.24
4 O 0.7500 0.5209 0.8771  1 Er 2.20, 3 Ho 2.22-2.24
5 Se 0.7500 0.9547 0.2403  3 Ho 2.95-3.21, 3 Er 2.96-3.21, 1 O 3.29
6 Er 0.7500 0.3236 0.5845  4 O 2.20-2.24
7 O 0.2500 0.4886 0.6194  3 Er 2.21-2.24, 1 Ho 2.26
8 Se 0.2500 0.0453 0.7597  3 Ho 2.95-3.21, 3 Er 2.96-3.21, 1 O 3.29
9 Ho 0.2500 0.6800 0.9238  4 O 2.22-2.26
10 Er 0.2500 0.6764 0.4155  4 O 2.20-2.24

Output
N(E_F) in states/eV per atom: 0.00
Formation energy without anion corrections in meV per atom: -3134
Total DFT energy (no corrections) in eV/atom: -7.64
Total magnetization in μB/cell: 0.0

2.
An optimized crystal structure of Sm2HoErO6. Source: the Alexandria database, functional PBE.

Lattice parameters (Å, degrees): 5.8816 5.8816 6.1027 61.19 61.19 60.00
Closest atoms and distances in Å follow each position.
Fractional coordinates of all 10 atoms:
1 O 0.9342 0.6128 0.2577  1 Er 2.23, 2 Sm 2.32-2.45, 1 Ho 2.34
2 O 0.6128 0.1953 0.2577  1 Er 2.23, 2 Sm 2.32-2.45, 1 Ho 2.34
3 Sm 0.0289 0.0289 0.9133  6 O 2.31-2.45
4 Sm 0.5292 0.5292 0.4124  6 O 2.32-2.45
5 O 0.1953 0.9342 0.2577  1 Er 2.23, 2 Sm 2.32-2.45, 1 Ho 2.34
6 Ho 0.8096 0.8096 0.5711  6 O 2.24-2.34
7 O 0.6943 0.1145 0.7586  1 Ho 2.24, 2 Sm 2.31-2.45, 1 Er 2.32
8 O 0.4326 0.6943 0.7586  1 Ho 2.24, 2 Sm 2.31-2.45, 1 Er 2.32
9 O 0.1145 0.4326 0.7586  1 Ho 2.24, 2 Sm 2.31-2.45, 1 Er 2.32
10 Er 0.3102 0.3102 0.0695  6 O 2.23-2.32

Output
N(E_F) in states/eV per atom: 0.00
Formation energy without anion corrections in meV per atom: -3487
Total DFT energy (no corrections) in eV/atom: -8.32
Total magnetization in μB/cell: 0.0

3.
An optimized crystal structure of TbHo2ErO6. Source: the Alexandria database, functional PBE.

Lattice parameters (Å, degrees): 5.7891 5.7891 6.0505 61.42 61.42 60.00
Closest atoms and distances in Å follow each position.
Fractional coordinates of all 10 atoms:
1 Tb 0.8065 0.8065 0.5805  6 O 2.26-2.39
2 Ho 0.5247 0.5247 0.4260  6 O 2.24-2.35
3 O 0.4115 0.7086 0.7521  2 Ho 2.23-2.35, 1 Tb 2.26, 1 Er 2.34
4 Ho 0.0235 0.0235 0.9295  6 O 2.23-2.35
5 Er 0.3088 0.3088 0.0736  6 O 2.23-2.34
6 O 0.7086 0.1278 0.7521  2 Ho 2.23-2.35, 1 Tb 2.26, 1 Er 2.34
7 O 0.2111 0.9175 0.2498  1 Er 2.23, 2 Ho 2.24-2.35, 1 Tb 2.39
8 O 0.1278 0.4115 0.7521  2 Ho 2.23-2.35, 1 Tb 2.26, 1 Er 2.34
9 O 0.6216 0.2111 0.2498  1 Er 2.23, 2 Ho 2.24-2.35, 1 Tb 2.39
10 O 0.9175 0.6216 0.2498  1 Er 2.23, 2 Ho 2.24-2.35, 1 Tb 2.39

Output
N(E_F) in states/eV per atom: 0.00
Formation energy without anion corrections in meV per atom: -3557
Total DFT energy (no corrections) in eV/atom: -8.37
Total magnetization in μB/cell: 0.0

4.
An optimized crystal structure of HoEr2TcO8. Source: the Alexandria database, functional PBE.

Lattice parameters (Å, degrees): 5.0108 5.0124 6.6783 90.00 90.00 90.65
Closest atoms and distances in Å follow each position.
Fractional coordinates of all 12 atoms:
1 O 0.3071 0.3073 0.5000  2 Er 2.14, 1 Ho 2.17
2 O 0.8170 0.1829 0.2089  1 Tc 1.91
3 Ho 0.0000 0.0000 0.5000  6 O 2.17-2.34
4 Er 0.5000 0.5000 0.7479  6 O 2.14-2.33
5 O 0.2707 0.2706 0.0000  1 Tc 1.91
6 Er 0.5000 0.5000 0.2521  6 O 2.14-2.33
7 O 0.6929 0.6927 0.5000  2 Er 2.14, 1 Ho 2.17
8 O 0.1830 0.8171 0.2089  1 Tc 1.91
9 O 0.7293 0.7294 0.0000  1 Tc 1.91
10 Tc 0.0000 0.0000 0.0000  6 O 1.91
11 O 0.8170 0.1830 0.7911  1 Tc 1.91
12 O 0.1830 0.8171 0.7911  1 Tc 1.91

Output
Formation energy without anion corrections in meV per atom: -2661
Total DFT energy (no corrections) in eV/atom: -7.97
Total magnetization in μB/cell: 0.0

5.
An optimized crystal structure of HoErTeO6. Source: the Alexandria database, functional PBE.

Lattice parameters (Å, degrees): 5.5095 5.5095 9.4384 90.00 90.00 120.00
Closest atoms and distances in Å follow each position.
Fractional coordinates of all 18 atoms:
1 O 0.3696 0.0402 0.1343  1 Te 1.96
2 Er 0.3333 0.6667 0.2500  6 O 2.25
3 Te 0.6667 0.3333 0.2500  6 O 1.96
4 O 0.6304 0.9598 0.8657  1 Te 1.96
5 O 0.3294 0.9598 0.6343  1 Te 1.96
6 O 0.0402 0.3696 0.6343  1 Te 1.96
7 O 0.6706 0.6304 0.1343  1 Te 1.96
8 Ho 0.0000 0.0000 0.5000  6 O 2.31
9 O 0.6706 0.0402 0.3657  1 Te 1.96
10 Te 0.3333 0.6667 0.7500  6 O 1.96
11 Ho 0.0000 0.0000 0.0000  6 O 2.31
12 O 0.0402 0.6706 0.8657  1 Te 1.96
13 O 0.6304 0.6706 0.6343  1 Te 1.96
14 O 0.3294 0.3696 0.8657  1 Te 1.96
15 O 0.9598 0.6304 0.3657  1 Te 1.96
16 O 0.3696 0.3294 0.3657  1 Te 1.96
17 Er 0.6667 0.3333 0.7500  6 O 2.25
18 O 0.9598 0.3294 0.1343  1 Te 1.96

Output
N(E_F) in states/eV per atom: 0.00
Formation energy without anion corrections in meV per atom: -2478
Total DFT energy (no corrections) in eV/atom: -7.15
Total magnetization in μB/cell: 0.0

6.
An optimized crystal structure of HoEr2TeO8. Source: the Alexandria database, functional PBE.

Lattice parameters (Å, degrees): 4.9973 4.9979 6.8186 90.00 90.00 90.89
Closest atoms and distances in Å follow each position.
Fractional coordinates of all 12 atoms:
1 O 0.1836 0.8163 0.7864  1 Te 1.96
2 O 0.7223 0.7225 0.0000  1 Te 1.95
3 Ho 0.0000 0.0000 0.5000  6 O 2.17-2.35
4 O 0.6901 0.6902 0.5000  1 Ho 2.17, 2 Er 2.17
5 O 0.3099 0.3098 0.5000  1 Ho 2.17, 2 Er 2.17
6 Te 0.0000 0.0000 0.0000  6 O 1.95-1.96
7 Er 0.5000 0.5000 0.7517  6 O 2.17-2.30
8 Er 0.5000 0.5000 0.2483  6 O 2.17-2.30
9 O 0.8164 0.1837 0.2136  1 Te 1.96
10 O 0.8164 0.1837 0.7863  1 Te 1.96
11 O 0.1836 0.8163 0.2137  1 Te 1.96
12 O 0.2777 0.2775 0.0000  1 Te 1.95

Output
N(E_F) in states/eV per atom: 0.66
Formation energy without anion corrections in meV per atom: -2542
Total DFT energy (no corrections) in eV/atom: -7.25
Total magnetization in μB/cell: 0.6

7.
An optimized crystal structure of HoErTeO2. Source: the Alexandria database, functional PBE.

Lattice parameters (Å, degrees): 4.0500 6.7498 7.6858 106.42 90.00 90.00
Closest atoms and distances in Å follow each position.
Fractional coordinates of all 10 atoms:
1 O 0.2500 0.4803 0.1226  1 Er 2.21, 3 Ho 2.24-2.25
2 O 0.7500 0.5073 0.3791  3 Er 2.22-2.26, 1 Ho 2.28
3 Er 0.2500 0.6612 0.4109  4 O 2.21-2.26
4 Te 0.7500 0.9529 0.2410  3 Ho 3.15-3.34, 3 Er 3.16-3.34, 2 O 3.43-3.46
5 Er 0.7500 0.3388 0.5891  4 O 2.21-2.26
6 Ho 0.2500 0.6673 0.9216  4 O 2.24-2.28
7 O 0.7500 0.5197 0.8774  1 Er 2.21, 3 Ho 2.24-2.25
8 O 0.2500 0.4927 0.6209  3 Er 2.22-2.26, 1 Ho 2.28
9 Ho 0.7500 0.3327 0.0784  4 O 2.24-2.28
10 Te 0.2500 0.0471 0.7590  3 Ho 3.15-3.34, 3 Er 3.16-3.34, 2 O 3.43-3.46

Output
N(E_F) in states/eV per atom: 0.00
Formation energy without anion corrections in meV per atom: -2989
Total DFT energy (no corrections) in eV/atom: -7.43
Total magnetization in μB/cell: 0.0

8.
An optimized crystal structure of Ho2ErTmO6. Source: the Alexandria database, functional PBE.

Lattice parameters (Å, degrees): 5.7502 5.7502 6.0182 61.46 61.46 60.00
Closest atoms and distances in Å follow each position.
Fractional coordinates of all 10 atoms:
1 O 0.9214 0.6192 0.2525  1 Tm 2.21, 2 Ho 2.24-2.35, 1 Er 2.34
2 Er 0.8086 0.8086 0.5742  6 O 2.22-2.34
3 Ho 0.0246 0.0247 0.9260  6 O 2.23-2.35
4 Tm 0.3094 0.3094 0.0718  6 O 2.21-2.32
5 Ho 0.5251 0.5251 0.4248  6 O 2.24-2.36
6 O 0.2069 0.9213 0.2525  1 Tm 2.21, 2 Ho 2.24-2.35, 1 Er 2.34
7 O 0.7058 0.1215 0.7536  1 Er 2.22, 2 Ho 2.23-2.35, 1 Tm 2.32
8 O 0.1215 0.4191 0.7536  1 Er 2.22, 2 Ho 2.23-2.36, 1 Tm 2.32
9 O 0.4191 0.7058 0.7536  1 Er 2.22, 2 Ho 2.23-2.36, 1 Tm 2.32
10 O 0.6192 0.2069 0.2525  1 Tm 2.21, 2 Ho 2.24-2.35, 1 Er 2.34

Output
N(E_F) in states/eV per atom: 0.00
Formation energy without anion corrections in meV per atom: -3586
Total DFT energy (no corrections) in eV/atom: -8.38
Total magnetization in μB/cell: 0.0

9.
An optimized crystal structure of HoEr2UO8. Source: the Alexandria database, functional PBE.

Lattice parameters (Å, degrees): 3.8396 5.2785 7.4961 90.00 90.00 90.01
Closest atoms and distances in Å follow each position.
Fractional coordinates of all 12 atoms:
1 Er 0.5000 0.5000 0.2511  8 O 2.28-2.36
2 U 0.0000 0.0000 0.0000  8 O 2.15-2.29
3 O 0.0001 0.7570 0.2302  1 U 2.15, 2 Er 2.36, 1 Ho 2.39
4 Er 0.5000 0.5000 0.7489  8 O 2.28-2.36
5 O 0.0001 0.7570 0.7698  1 U 2.15, 2 Er 2.36, 1 Ho 2.39
6 O 0.9999 0.2430 0.7698  1 U 2.15, 2 Er 2.36, 1 Ho 2.39
7 O 0.4998 0.2346 0.0000  2 U 2.28-2.29, 2 Er 2.35, 1 O 2.48
8 O 0.5000 0.2517 0.5000  2 Er 2.28, 2 Ho 2.33
9 Ho 0.0000 0.0000 0.5000  8 O 2.33-2.39
10 O 0.5000 0.7483 0.5000  2 Er 2.28, 2 Ho 2.33
11 O 0.5002 0.7654 0.0000  2 U 2.28-2.29, 2 Er 2.35, 1 O 2.48
12 O 0.9999 0.2430 0.2302  1 U 2.15, 2 Er 2.36, 1 Ho 2.39

Output
N(E_F) in states/eV per atom: 0.64
Formation energy without anion corrections in meV per atom: -3301
Total DFT energy (no corrections) in eV/atom: -8.69
Total magnetization in μB/cell: 0.0

total DFT energy (no corrections) of number 5 (HoErTeO6)?
-7.15 eV/atom